# 1
# Y4Sc5

Y4Sc5 after structural relaxation (GGA-PBE, Alexandria).

Output
energy relative to the elements: 0.061 eV/atom
ΔE to the lowest computed polymorph: 0.0 meV/atom
spin magnetization: 0.00 μB/cell

```
data_Y4Sc5
_chemical_formula_sum 'Y8 Sc10'
_space_group_name_H-M_alt 'I 4/m m m'
_space_group_IT_number 139
_space_group_name_Hall '-I 4 2'
_cell_length_a 10.178
_cell_length_b 10.178
_cell_length_c 4.838
_cell_angle_alpha 90.00
_cell_angle_beta 90.00
_cell_angle_gamma 90.00
loop_
_atom_site_label
_atom_site_type_symbol
_atom_site_fract_x
_atom_site_fract_y
_atom_site_fract_z
_atom_site_occupancy
Y1 Y 0.000 0.324 0.000 1
Sc1 Sc 0.000 0.000 0.000 1
Sc2 Sc 0.163 0.163 0.500 1
```


# 2
# Pm2PrSm3Y6

Pm2PrSm3Y6 after structural relaxation (GGA-PBE, Alexandria).

Output
energy relative to the elements: 0.011 eV/atom
spin magnetization: 0.00 μB/cell

```
data_Pm2PrSm3Y6
_chemical_formula_sum 'Pm4 Pr2 Sm6 Y12'
_space_group_name_H-M_alt 'C 1 2/m 1'
_space_group_IT_number 12
_space_group_name_Hall '-C 2y'
_cell_length_a 6.267
_cell_length_b 10.850
_cell_length_c 11.880
_cell_angle_alpha 90.00
_cell_angle_beta 100.08
_cell_angle_gamma 90.00
loop_
_atom_site_label
_atom_site_type_symbol
_atom_site_fract_x
_atom_site_fract_y
_atom_site_fract_z
_atom_site_occupancy
Pm1 Pm 0.000 0.167 0.000 1
Pr1 Pr 0.000 0.500 0.000 1
Sm1 Sm 0.000 0.000 0.500 1
Sm2 Sm 0.000 0.333 0.500 1
Y1 Y 0.249 0.167 0.749 1
Y2 Y 0.250 0.000 0.251 1
```


# 3
# KNa2SnF8

KNa2SnF8 after structural relaxation (GGA-PBE, Alexandria).

Output
E_form (uncorrected): -2.50 eV/atom
spin magnetization: 1.12 μB/cell

```
data_KNa2SnF8
_chemical_formula_sum 'K1 Na2 Sn1 F8'
_space_group_name_H-M_alt 'P -1'
_space_group_IT_number 2
_space_group_name_Hall '-P 1'
_cell_length_a 5.017
_cell_length_b 5.196
_cell_length_c 7.624
_cell_angle_alpha 90.07
_cell_angle_beta 90.18
_cell_angle_gamma 90.43
loop_
_atom_site_label
_atom_site_type_symbol
_atom_site_fract_x
_atom_site_fract_y
_atom_site_fract_z
_atom_site_occupancy
K1 K 0.000 0.000 0.000 1
Na1 Na 0.500 0.500 0.282 1
Sn1 Sn 0.000 0.000 0.500 1
F1 F 0.210 0.835 0.307 1
F2 F 0.212 0.837 0.694 1
F3 F 0.255 0.300 0.500 1
F4 F 0.314 0.435 0.000 1
```


# 4
# Pa2Si5Ru

Pa2Si5Ru after structural relaxation (GGA-PBE, Alexandria).

Output
E_form (uncorrected): -0.47 eV/atom
spin magnetization: 0.00 μB/cell

```
data_Pa2Si5Ru
_chemical_formula_sum 'Pa4 Si10 Ru2'
_space_group_name_H-M_alt 'I 4 m m'
_space_group_IT_number 107
_space_group_name_Hall 'I 4 -2'
_cell_length_a 5.854
_cell_length_b 5.854
_cell_length_c 8.437
_cell_angle_alpha 90.00
_cell_angle_beta 90.00
_cell_angle_gamma 90.00
loop_
_atom_site_label
_atom_site_type_symbol
_atom_site_fract_x
_atom_site_fract_y
_atom_site_fract_z
_atom_site_occupancy
Pa1 Pa 0.000 0.500 0.000 1
Si1 Si 0.000 0.000 0.039 1
Si2 Si 0.212 0.212 0.258 1
Ru1 Ru 0.000 0.000 0.764 1
```


# 5
# InGe3Se

InGe3Se after structural relaxation (GGA-PBE, Alexandria).

Output
E_form (uncorrected): 0.87 eV/atom
ΔE to the lowest computed polymorph: 287.6 meV/atom
spin magnetization: 0.00 μB/cell

```
data_InGe3Se
_chemical_formula_sum 'In1 Ge3 Se1'
_space_group_name_H-M_alt 'P m -3 m'
_space_group_IT_number 221
_space_group_name_Hall '-P 4 2 3'
_cell_length_a 5.254
_cell_length_b 5.254
_cell_length_c 5.254
_cell_angle_alpha 90.00
_cell_angle_beta 90.00
_cell_angle_gamma 90.00
loop_
_atom_site_label
_atom_site_type_symbol
_atom_site_fract_x
_atom_site_fract_y
_atom_site_fract_z
_atom_site_occupancy
In1 In 0.000 0.000 0.000 1
Ge1 Ge 0.000 0.000 0.500 1
Se1 Se 0.500 0.500 0.500 1
```


# 6
# TbPm2DySe6

TbPm2DySe6 after structural relaxation (GGA-PBE, Alexandria).

Output
E_form (uncorrected): -1.85 eV/atom
spin magnetization: 0.00 μB/cell

```
data_TbPm2DySe6
_chemical_formula_sum 'Tb3 Pm6 Dy3 Se18'
_space_group_name_H-M_alt 'R 3'
_space_group_IT_number 146
_space_group_name_Hall 'R 3'
_cell_length_a 7.3286
_cell_length_b 7.3286
_cell_length_c 19.5950
_cell_angle_alpha 90.00
_cell_angle_beta 90.00
_cell_angle_gamma 120.00
loop_
_atom_site_label
_atom_site_type_symbol
_atom_site_fract_x
_atom_site_fract_y
_atom_site_fract_z
_atom_site_occupancy
Tb1 Tb 0.0000 0.0000 0.0000 1
Pm1 Pm 0.0000 0.0000 0.3002 1
Pm2 Pm 0.0000 0.0000 0.8005 1
Dy1 Dy 0.0000 0.0000 0.4997 1
Se1 Se 0.0381 0.6808 0.5699 1
Se2 Se 0.0385 0.3589 0.0702 1
```


# 7
# Tb4YTm5

Tb4YTm5 after structural relaxation (GGA-PBE, Alexandria).

Output
energy relative to the elements: 0.310 eV/atom
ΔE to the lowest computed polymorph: 114.4 meV/atom
spin magnetization: 0.00 μB/cell

```
data_Tb4YTm5
_chemical_formula_sum 'Tb8 Y2 Tm10'
_space_group_name_H-M_alt 'I 4'
_space_group_IT_number 79
_space_group_name_Hall 'I 4'
_cell_length_a 10.172
_cell_length_b 10.172
_cell_length_c 6.214
_cell_angle_alpha 90.00
_cell_angle_beta 90.00
_cell_angle_gamma 90.00
loop_
_atom_site_label
_atom_site_type_symbol
_atom_site_fract_x
_atom_site_fract_y
_atom_site_fract_z
_atom_site_occupancy
Tb1 Tb 0.050 0.349 0.000 1
Y1 Y 0.000 0.000 0.229 1
Tm1 Tm 0.000 0.000 0.766 1
Tm2 Tm 0.146 0.233 0.502 1
```


# 8
# SrCd6Si2

SrCd6Si2 after structural relaxation (GGA-PBE, Alexandria).

Output
E_form (uncorrected): -0.09 eV/atom
spin magnetization: 0.00 μB/cell

```
data_SrCd6Si2
_chemical_formula_sum 'Sr1 Cd6 Si2'
_space_group_name_H-M_alt 'P 4/m m m'
_space_group_IT_number 123
_space_group_name_Hall '-P 4 2'
_cell_length_a 4.446
_cell_length_b 4.446
_cell_length_c 10.301
_cell_angle_alpha 90.00
_cell_angle_beta 90.00
_cell_angle_gamma 90.00
loop_
_atom_site_label
_atom_site_type_symbol
_atom_site_fract_x
_atom_site_fract_y
_atom_site_fract_z
_atom_site_occupancy
Sr1 Sr 0.000 0.000 0.000 1
Cd1 Cd 0.000 0.000 0.500 1
Cd2 Cd 0.000 0.500 0.282 1
Cd3 Cd 0.500 0.500 0.500 1
Si1 Si 0.500 0.500 0.116 1
```


Number 3 is which compound? KNa2SnF8